Computed, not measured: crystalline Tb4CuHg at its relaxed geometry at the PBE level of DFT.

Values from the calculation:
For the calculated volume, the calculation gives 353.9 Å³/cell. As for the energy relative to the elements: -0.040 eV per atom. The density is 8.4 g cm⁻³. The calculation puts the total energy at -46.316 eV for the cell shown. As for the total magnetization: 0.00 Bohr magnetons per cell. Its space group is P2_1/c (14).

Lattice parameters (Å, degrees): 6.7027 7.5902 7.0045 90.00 96.66 90.00
Closest atoms and distances in Å follow each position.
Fractional coordinates of all 12 atoms:
Tb (0.9089, 0.6513, 0.1626)  1 Cu 2.63
Tb (0.5911, 0.1513, 0.8374)  1 Cu 2.63
Tb (0.3266, 0.3326, 0.3506)  2 Cu 2.83-2.92, 1 Hg 3.11
Tb (0.1734, 0.8326, 0.6494)  2 Cu 2.83-2.92, 1 Hg 3.11
Tb (0.0911, 0.3487, 0.8374)  1 Cu 2.63
Tb (0.4089, 0.8487, 0.1626)  1 Cu 2.63
Tb (0.6734, 0.6674, 0.6494)  2 Cu 2.83-2.92, 1 Hg 3.11
Tb (0.8266, 0.1674, 0.3506)  2 Cu 2.83-2.92, 1 Hg 3.11
Cu (0.5000, 0.0000, 0.5000)  6 Tb 2.63-2.92
Cu (0.0000, 0.5000, 0.5000)  6 Tb 2.63-2.92
Hg (0.0000, 0.0000, 0.0000)  6 Tb 2.97-3.11
Hg (0.5000, 0.5000, 0.0000)  6 Tb 2.97-3.11

***

Computed, not measured: crystalline Sm2ErI8 at its relaxed geometry at the PBE level of DFT.

Values from the calculation:
For the calculated volume, the calculation gives 617.7 Å³/cell. The density is 4.0 g cm⁻³. The calculation puts the total energy at -39.789 eV for the cell shown. As for the total magnetization: 1.01 Bohr magnetons per cell. Its space group is C2/m (12).

Lattice parameters (Å, degrees): 7.2871 10.7391 10.7391 47.79 96.47 96.47
Closest atoms and distances in Å follow each position.
Fractional coordinates of all 11 atoms:
Sm (0.4223, 0.1442, 0.1442)  4 I 2.91-3.04
Sm (0.5777, 0.8558, 0.8558)  4 I 2.91-3.04
Er (0.0000, 0.0000, 0.0000)  6 I 3.04-3.09
I (0.7432, 0.2015, 0.6855)  1 Sm 2.99, 1 Er 3.04
I (0.2568, 0.3145, 0.7985)  1 Sm 2.99, 1 Er 3.04
I (0.8367, 0.1377, 0.1377)  1 Sm 3.04, 1 Er 3.09
I (0.1633, 0.8623, 0.8623)  1 Sm 3.04, 1 Er 3.09
I (0.7432, 0.6855, 0.2015)  1 Sm 2.99, 1 Er 3.04
I (0.2568, 0.7985, 0.3145)  1 Sm 2.99, 1 Er 3.04
I (0.3579, 0.2877, 0.2877)  1 Sm 2.91
I (0.6421, 0.7123, 0.7123)  1 Sm 2.91

***

Computed, not measured: crystalline PaGa2As at its relaxed geometry at the PBE level of DFT.

Values from the calculation:
For the calculated volume, the calculation gives 88.5 Å³/cell. As for the energy relative to the elements: 0.232 eV per atom. The density is 8.4 g cm⁻³. The calculation puts the total energy at -19.272 eV for the cell shown. As for the total magnetization: 0.00 Bohr magnetons per cell. Its space group is R-3m (166).

Lattice parameters (Å, degrees): 3.1766 3.1766 10.2890 81.12 81.12 60.00
Closest atoms and distances in Å follow each position.
Fractional coordinates of all 4 atoms:
As (0.5000, 0.5000, 0.5000)  6 Ga 2.79
Pa (0.0000, 0.0000, 0.0000)  2 Ga 2.96, 6 Pa 3.18
Ga (0.0975, 0.0975, 0.7074)  3 As 2.79, 1 Pa 2.96
Ga (0.9025, 0.9025, 0.2926)  3 As 2.79, 1 Pa 2.96

***

Computed, not measured: crystalline RbTcOs2 at its relaxed geometry at the PBE level of DFT.

Values from the calculation:
For the calculated volume, the calculation gives 69.0 Å³/cell. As for the energy relative to the elements: 1.961 eV per atom. The density is 13.6 g cm⁻³. The calculation puts the total energy at -25.948 eV for the cell shown. As for the total magnetization: 0.00 Bohr magnetons per cell. Its space group is Fm-3m (225).

Lattice parameters (Å, degrees): 4.6039 4.6039 4.6039 60.00 60.00 60.00
Closest atoms and distances in Å follow each position.
Fractional coordinates of all 4 atoms:
Os (0.2500, 0.2500, 0.2500)  4 Tc 2.82, 4 Rb 2.82
Os (0.7500, 0.7500, 0.7500)  4 Tc 2.82, 4 Rb 2.82
Tc (0.5000, 0.5000, 0.5000)  8 Os 2.82
Rb (0.0000, 0.0000, 0.0000)  8 Os 2.82

***

Computed, not measured: crystalline RbBaBr3 at its relaxed geometry at the PBE level of DFT.

Values from the calculation:
For the calculated volume, the calculation gives 421.1 Å³/cell. The density is 3.6 g cm⁻³. The calculation puts the total energy at -35.847 eV for the cell shown. As for the total magnetization: 0.09 Bohr magnetons per cell. Its space group is Pmmn (59).

Lattice parameters (Å, degrees): 5.0026 8.0191 10.4967 90.00 90.00 90.00
Closest atoms and distances in Å follow each position.
Fractional coordinates of all 10 atoms:
Rb (0.5000, 0.0000, 0.1279)  2 Br 3.36
Rb (0.0000, 0.5000, 0.8721)  2 Br 3.36
Ba (0.0000, 0.0000, 0.6096)  7 Br 3.19-3.34
Ba (0.5000, 0.5000, 0.3904)  7 Br 3.19-3.34
Br (0.0000, 0.7630, 0.3479)  3 Ba 3.30-3.34
Br (0.5000, 0.7370, 0.6521)  3 Ba 3.30-3.34
Br (0.5000, 0.2630, 0.6521)  3 Ba 3.30-3.34
Br (0.0000, 0.2370, 0.3479)  3 Ba 3.30-3.34
Br (0.0000, 0.0000, 0.9139)  1 Ba 3.19, 2 Rb 3.36
Br (0.5000, 0.5000, 0.0861)  1 Ba 3.19, 2 Rb 3.36

***

Computed, not measured: crystalline SrScIn2Au at its relaxed geometry at the PBE level of DFT.

Values from the calculation:
For the calculated volume, the calculation gives 187.0 Å³/cell. As for the energy relative to the elements: 0.788 eV per atom. The density is 5.0 g cm⁻³. The calculation puts the total energy at -12.826 eV for the cell shown. As for the total magnetization: 0.00 Bohr magnetons per cell. Its space group is P4/mmm (123).

Lattice parameters (Å, degrees): 5.8906 5.3886 5.8906 90.00 90.00 90.00
Closest atoms and distances in Å follow each position.
Fractional coordinates of all 5 atoms:
Sc (0.5000, 0.5000, 0.5000)  8 In 3.99, 4 Au 4.17
Sr (0.0000, 0.0000, 0.0000)  2 Au 2.69, 4 In 2.95
Au (0.0000, 0.5000, 0.0000)  2 Sr 2.69
In (0.0000, 0.0000, 0.5000)  2 Sr 2.95
In (0.5000, 0.0000, 0.0000)  2 Sr 2.95

***

Computed, not measured: crystalline KW at its relaxed geometry at the PBE level of DFT.

Values from the calculation:
For the calculated volume, the calculation gives 73.0 Å³/cell. As for the energy relative to the elements: 3.031 eV per atom. The density is 5.1 g cm⁻³. The calculation puts the total energy at -7.988 eV for the cell shown. As for the total magnetization: 5.01 Bohr magnetons per cell. Its space group is Pm-3m (221).

Lattice parameters (Å, degrees): 4.1790 4.1790 4.1790 90.00 90.00 90.00
Closest atoms and distances in Å follow each position.
Fractional coordinates of all 2 atoms:
K (0.0000, 0.0000, 0.0000)  8 W 3.62
W (0.5000, 0.5000, 0.5000)  8 K 3.62

***

Computed, not measured: crystalline Li4GePd2 at its relaxed geometry at the PBE level of DFT.

Values from the calculation:
For the calculated volume, the calculation gives 106.8 Å³/cell. As for the energy relative to the elements: -0.376 eV per atom. The density is 4.9 g cm⁻³. The calculation puts the total energy at -25.290 eV for the cell shown. As for the total magnetization: 0.00 Bohr magnetons per cell. Its space group is I4/mmm (139).

Lattice parameters (Å, degrees): 5.2596 5.2596 5.3586 119.35 119.35 90.02
Closest atoms and distances in Å follow each position.
Fractional coordinates of all 7 atoms:
Li (0.7860, 0.7860, 0.0718)  4 Li 2.63, 2 Ge 2.68, 4 Pd 2.68
Li (0.2856, 0.2856, 0.0711)  4 Li 2.63, 4 Pd 2.68, 2 Ge 2.68
Li (0.7857, 0.2857, 0.0714)  4 Li 2.63, 4 Pd 2.68, 2 Ge 2.68
Li (0.2857, 0.7857, 0.0714)  4 Li 2.63, 4 Pd 2.68, 2 Ge 2.68
Ge (0.7857, 0.7857, 0.5714)  4 Pd 2.63, 8 Li 2.68
Pd (0.2858, 0.7855, 0.5714)  2 Ge 2.63, 8 Li 2.68
Pd (0.7855, 0.2858, 0.5714)  2 Ge 2.63, 8 Li 2.68

***

Computed, not measured: crystalline ScCu2Ru at its relaxed geometry at the PBE level of DFT.

Values from the calculation:
For the calculated volume, the calculation gives 57.8 Å³/cell. As for the energy relative to the elements: -0.151 eV per atom. The density is 7.8 g cm⁻³. The calculation puts the total energy at -24.404 eV for the cell shown. As for the total magnetization: 0.00 Bohr magnetons per cell. Its space group is I4/mmm (139).

Lattice parameters (Å, degrees): 4.8396 4.8396 4.8396 133.94 133.94 67.18
Closest atoms and distances in Å follow each position.
Fractional coordinates of all 4 atoms:
Cu (0.0000, 0.0000, 0.0000)  4 Cu 2.68, 4 Ru 2.77, 4 Sc 2.77
Cu (0.5000, 0.5000, 0.0000)  4 Cu 2.68, 4 Sc 2.77, 4 Ru 2.77
Ru (0.2500, 0.7500, 0.5000)  4 Sc 2.68, 8 Cu 2.77
Sc (0.7500, 0.2500, 0.5000)  4 Ru 2.68, 8 Cu 2.77

***

Computed, not measured: crystalline PmSm6Dy2 at its relaxed geometry at the PBE level of DFT.

Values from the calculation:
For the calculated volume, the calculation gives 304.0 Å³/cell. As for the energy relative to the elements: 0.205 eV per atom. The density is 7.5 g cm⁻³. The calculation puts the total energy at -40.423 eV for the cell shown. As for the total magnetization: 0.90 Bohr magnetons per cell. Its space group is C2/m (12).

Lattice parameters (Å, degrees): 6.1582 7.5505 7.5505 60.00 90.01 90.01
Closest atoms and distances in Å follow each position.
Fractional coordinates of all 9 atoms:
Pm (0.0000, 0.0000, 0.0000)  6 Sm 3.03-3.04
Sm (0.2907, 0.3763, 0.8128)  1 Pm 3.04, 2 Sm 3.29-3.30
Sm (0.2899, 0.8124, 0.8124)  1 Pm 3.03, 2 Sm 3.29
Sm (0.2907, 0.8128, 0.3763)  1 Pm 3.04, 2 Sm 3.29-3.30
Sm (0.7093, 0.6237, 0.1872)  1 Pm 3.04, 2 Sm 3.29-3.30
Sm (0.7101, 0.1876, 0.1876)  1 Pm 3.03, 2 Sm 3.29
Sm (0.7093, 0.1872, 0.6237)  1 Pm 3.04, 2 Sm 3.29-3.30
Dy (0.7839, 0.6664, 0.6664)  12 Sm 3.58-3.82
Dy (0.2161, 0.3336, 0.3336)  12 Sm 3.58-3.82

***

Computed, not measured: crystalline Be2AlCu at its relaxed geometry at the PBE level of DFT.

Values from the calculation:
For the calculated volume, the calculation gives 101.1 Å³/cell. As for the energy relative to the elements: 0.476 eV per atom. The density is 3.6 g cm⁻³. The calculation puts the total energy at -26.775 eV for the cell shown. As for the total magnetization: 0.00 Bohr magnetons per cell. Its space group is I-42d (122).

Lattice parameters (Å, degrees): 6.5894 6.5894 5.2092 50.77 50.77 90.00
Closest atoms and distances in Å follow each position.
Fractional coordinates of all 8 atoms:
Be (0.6611, 0.1250, 0.2500)  2 Cu 2.24, 2 Be 2.38
Be (0.0889, 0.6250, 0.2500)  2 Cu 2.24, 2 Be 2.38
Be (0.3750, 0.3389, 0.7500)  2 Cu 2.24, 2 Be 2.38
Be (0.8750, 0.9111, 0.7500)  2 Cu 2.24, 2 Be 2.38
Al (0.5000, 0.5000, 0.0000)  2 Cu 2.33, 4 Be 2.57
Al (0.2500, 0.7500, 0.5000)  2 Cu 2.33, 4 Be 2.57
Cu (0.0000, 0.0000, 0.0000)  4 Be 2.24, 2 Al 2.33
Cu (0.7500, 0.2500, 0.5000)  4 Be 2.24, 2 Al 2.33

***

Computed, not measured: crystalline MgZnNiAg at its relaxed geometry at the PBE level of DFT.

Values from the calculation:
For the calculated volume, the calculation gives 60.3 Å³/cell. As for the energy relative to the elements: -0.121 eV per atom. The density is 7.1 g cm⁻³. The calculation puts the total energy at -11.984 eV for the cell shown. As for the total magnetization: 0.00 Bohr magnetons per cell. Its space group is F-43m (216).

Lattice parameters (Å, degrees): 4.4025 4.4025 4.4025 60.00 60.00 60.00
Closest atoms and distances in Å follow each position.
Fractional coordinates of all 4 atoms:
Ni (0.7500, 0.7500, 0.7500)  4 Mg 2.70, 4 Zn 2.70
Zn (0.5000, 0.5000, 0.5000)  4 Ni 2.70, 4 Ag 2.70
Mg (0.0000, 0.0000, 0.0000)  4 Ni 2.70, 4 Ag 2.70
Ag (0.2500, 0.2500, 0.2500)  4 Mg 2.70, 4 Zn 2.70

***

Repeat the fifth record exactly.
Computed, not measured: crystalline RbBaBr3 at its relaxed geometry at the PBE level of DFT.

Values from the calculation:
For the calculated volume, the calculation gives 421.1 Å³/cell. The density is 3.6 g cm⁻³. The calculation puts the total energy at -35.847 eV for the cell shown. As for the total magnetization: 0.09 Bohr magnetons per cell. Its space group is Pmmn (59).

Lattice parameters (Å, degrees): 5.0026 8.0191 10.4967 90.00 90.00 90.00
Closest atoms and distances in Å follow each position.
Fractional coordinates of all 10 atoms:
Rb (0.5000, 0.0000, 0.1279)  2 Br 3.36
Rb (0.0000, 0.5000, 0.8721)  2 Br 3.36
Ba (0.0000, 0.0000, 0.6096)  7 Br 3.19-3.34
Ba (0.5000, 0.5000, 0.3904)  7 Br 3.19-3.34
Br (0.0000, 0.7630, 0.3479)  3 Ba 3.30-3.34
Br (0.5000, 0.7370, 0.6521)  3 Ba 3.30-3.34
Br (0.5000, 0.2630, 0.6521)  3 Ba 3.30-3.34
Br (0.0000, 0.2370, 0.3479)  3 Ba 3.30-3.34
Br (0.0000, 0.0000, 0.9139)  1 Ba 3.19, 2 Rb 3.36
Br (0.5000, 0.5000, 0.0861)  1 Ba 3.19, 2 Rb 3.36